Compound: La5CuS8
Source: Alexandria
Functional: PBE-GGA
Structure: relaxed

Formation energy from raw total energies ... -1900 meV per atom

Cell: 8.597 8.597 8.850 Å, 90.00 90.00 90.00°
Space group I-4 (No. 82)
One atom of each set of equivalent atoms:
La1 0.000 0.000 0.000
La2 0.133 0.750 0.617
Cu1 0.000 0.500 0.250
S1 0.062 0.806 0.293
S2 0.079 0.683 0.930


Compound: La2Cu4S5
Source: Alexandria
Functional: PBE-GGA
Structure: relaxed

Formation energy from raw total energies ... -933 meV per atom

Cell: 3.9146 3.9146 49.1911 Å, 90.00 90.00 120.00°
Space group R-3m (No. 166, hexagonal axes)
One atom of each set of equivalent atoms:
La1 0.0000 0.0000 0.1296
Cu1 0.0000 0.0000 0.3122
Cu2 0.0000 0.0000 0.4111
S1 0.0000 0.0000 0.2404
S2 0.0000 0.0000 0.3643
S3 0.0000 0.0000 0.5000


Compound: La2CuS4
Source: Alexandria
Functional: PBE-GGA
Structure: relaxed

Formation energy from raw total energies ... -1544 meV per atom

Cell: 4.459 4.459 15.432 Å, 90.00 90.00 90.00°
Space group I4/mmm (No. 139)
One atom of each set of equivalent atoms:
La1 0.000 0.000 0.135
Cu1 0.000 0.000 0.500
S1 0.000 0.000 0.319
S2 0.000 0.500 0.000


Compound: LaCuS2
Source: Alexandria
Functional: PBE-GGA
Structure: relaxed

Formation energy from raw total energies ... -1098 meV per atom

Cell: 6.803 6.803 6.803 Å, 90.00 90.00 90.00°
Space group Fm-3m (No. 225)
One atom of each set of equivalent atoms:
La1 0.000 0.000 0.000
Cu1 0.000 0.000 0.500
S1 0.250 0.250 0.250


Compound: La2CuS4
Source: Alexandria
Functional: PBE-GGA
Structure: relaxed

Formation energy from raw total energies ... -1627 meV per atom

Cell: 6.840 5.749 8.224 Å, 90.00 107.42 90.00°
Space group P2_1/m (No. 11)
One atom of each set of equivalent atoms:
La1 0.225 0.250 0.430
La2 0.244 0.250 0.937
Cu1 0.253 0.750 0.190
S1 0.070 0.750 0.384
S2 0.079 0.750 0.903
S3 0.488 0.512 0.741


Compound: La3Cu2S6
Source: Alexandria
Functional: PBE-GGA
Structure: relaxed

Formation energy from raw total energies ... -1502 meV per atom

Cell: 4.570 4.570 22.934 Å, 90.00 90.00 90.00°
Space group I4/mmm (No. 139)
One atom of each set of equivalent atoms:
La1 0.000 0.000 0.000
La2 0.000 0.000 0.172
Cu1 0.000 0.000 0.400
S1 0.000 0.000 0.295
S2 0.000 0.500 0.082


Compound: LaCuS2
Source: Alexandria
Functional: PBE-GGA
Structure: relaxed

Formation energy from raw total energies ... -1309 meV per atom

Cell: 3.703 3.703 11.799 Å, 90.00 90.00 90.00°
Space group I-4m2 (No. 119)
One atom of each set of equivalent atoms:
La1 0.000 0.000 0.000
Cu1 0.000 0.500 0.750
S1 0.000 0.000 0.368


Compound: La3CuS
Source: Alexandria
Functional: PBE-GGA
Structure: relaxed

Formation energy from raw total energies ... -503 meV per atom

Cell: 5.464 5.464 5.464 Å, 90.00 90.00 90.00°
Space group Pm-3m (No. 221)
One atom of each set of equivalent atoms:
La1 0.000 0.000 0.500
Cu1 0.500 0.500 0.500
S1 0.000 0.000 0.000


Compound: La3Cu2S7
Source: Alexandria
Functional: PBE-GGA
Structure: relaxed

Formation energy from raw total energies ... -1343 meV per atom

Cell: 10.2818 10.2818 5.7495 Å, 90.00 90.00 120.00°
Space group P6_3 (No. 173)
One atom of each set of equivalent atoms:
La1 0.1438 0.7740 0.0000
Cu1 0.0000 0.0000 0.0140
Cu2 0.3333 0.6667 0.3939
S1 0.0912 0.5185 0.2803
S2 0.0963 0.8471 0.5086
S3 0.3333 0.6667 0.7803


Compound: La2CuS
Source: Alexandria
Functional: PBE-GGA
Structure: relaxed

Formation energy from raw total energies ... -928 meV per atom

Cell: 4.0774 4.0774 22.6071 Å, 90.00 90.00 120.00°
Space group R3m (No. 160, hexagonal axes)
One atom of each set of equivalent atoms:
La1 0.0000 0.0000 0.0000
La2 0.0000 0.0000 0.1684
Cu1 0.0000 0.0000 0.5836
S1 0.0000 0.0000 0.7516


Ordered VASP energy results: -6.31; -5.19; -5.90; -5.42; -5.98; -5.84; -5.63; -5.10; -5.67; -5.45; unit eV per atom.
Ordered total magnetization results: 0.00; 0.00; 0.00; 0.00; 0.00; 0.00; 0.00; 0.00; 0.00; 0.00; unit Bohr magnetons per cell.